(1)
C4SeI2 after structural relaxation, computed with GGA-PBE. Values from VASP.

```
&SYSTEM
  ibrav = 0, nat = 7, ntyp = 3
/
ATOMIC_SPECIES
C 12.01 C.upf
Se 78.96 Se.upf
I 126.90 I.upf
CELL_PARAMETERS angstrom
-2.0017 2.0017 6.7574
2.0017 -2.0017 6.7574
2.0017 2.0017 -6.7574
ATOMIC_POSITIONS crystal
C 0.0000 0.5000 0.5000
C 0.1533 0.1533 0.0000
C 0.5000 0.0000 0.5000
C 0.8467 0.8467 0.0000
Se 0.0000 0.0000 0.0000
I 0.3621 0.3621 0.0000
I 0.6379 0.6379 0.0000
```

Its space group is I4/mmm (139). The calculation puts the density of states at the Fermi level at 0.7372 states/eV/atom.



(2)
Sm6C2SeI3 after structural relaxation, computed with GGA-PBE. Values from VASP.

```
&SYSTEM
  ibrav = 0, nat = 12, ntyp = 4
/
ATOMIC_SPECIES
Sm 150.36 Sm.upf
C 12.01 C.upf
Se 78.96 Se.upf
I 126.90 I.upf
CELL_PARAMETERS angstrom
3.4600 -5.9945 0.0000
3.4600 5.9945 0.0000
-2.3111 0.0000 7.5971
ATOMIC_POSITIONS crystal
Sm 0.0789 0.4412 0.8238
Sm 0.1964 0.1964 0.1753
Sm 0.4412 0.0789 0.8238
Sm 0.5588 0.9211 0.1762
Sm 0.8036 0.8036 0.8247
Sm 0.9211 0.5588 0.1762
C 0.1668 0.8332 0.0000
C 0.8332 0.1668 0.0000
Se 0.5000 0.5000 0.0000
I 0.0000 0.0000 0.5000
I 0.3374 0.6626 0.5000
I 0.6626 0.3374 0.5000
```

Its space group is C2/m (12). The calculation puts the density of states at the Fermi level at 0.3221 states/eV/atom.



(3)
Tb6C2SeI3 after structural relaxation, computed with GGA-PBE. Values from VASP.

```
&SYSTEM
  ibrav = 0, nat = 12, ntyp = 4
/
ATOMIC_SPECIES
Tb 158.93 Tb.upf
C 12.01 C.upf
Se 78.96 Se.upf
I 126.90 I.upf
CELL_PARAMETERS angstrom
3.4041 -5.8982 0.0000
3.4041 5.8982 0.0000
-2.2743 0.0000 7.4334
ATOMIC_POSITIONS crystal
Tb 0.0789 0.4421 0.8262
Tb 0.1948 0.1948 0.1729
Tb 0.4421 0.0789 0.8262
Tb 0.5579 0.9211 0.1738
Tb 0.8052 0.8052 0.8271
Tb 0.9211 0.5579 0.1738
C 0.1668 0.8332 0.0000
C 0.8332 0.1668 0.0000
Se 0.5000 0.5000 0.0000
I 0.0000 0.0000 0.5000
I 0.3372 0.6628 0.5000
I 0.6628 0.3372 0.5000
```

Its space group is C2/m (12). The calculation puts the density of states at the Fermi level at 0.3166 states/eV/atom.



(4)
Te2CSeI after structural relaxation, computed with GGA-PBE. Values from VASP.

```
&SYSTEM
  ibrav = 0, nat = 5, ntyp = 4
/
ATOMIC_SPECIES
Te 127.60 Te.upf
C 12.01 C.upf
Se 78.96 Se.upf
I 126.90 I.upf
CELL_PARAMETERS angstrom
5.5796 0.0000 0.0000
0.0000 5.5796 0.0000
0.0000 0.0000 5.5252
ATOMIC_POSITIONS crystal
Te 0.0000 0.5000 0.0000
Te 0.5000 0.0000 0.0000
C 0.0000 0.0000 0.5000
Se 0.5000 0.5000 0.0000
I 0.5000 0.5000 0.5000
```

Its space group is P4/mmm (123). The calculation puts the density of states at the Fermi level at 1.2227 states/eV/atom.



(5)
TeCSeI2 after structural relaxation, computed with GGA-PBE. Values from VASP.

```
&SYSTEM
  ibrav = 0, nat = 5, ntyp = 4
/
ATOMIC_SPECIES
Te 127.60 Te.upf
C 12.01 C.upf
Se 78.96 Se.upf
I 126.90 I.upf
CELL_PARAMETERS angstrom
5.6200 0.0000 0.0000
0.0000 5.6200 0.0000
0.0000 0.0000 5.7221
ATOMIC_POSITIONS crystal
Te 0.0000 0.0000 0.0000
C 0.5000 0.5000 0.0000
Se 0.0000 0.0000 0.5000
I 0.0000 0.5000 0.5000
I 0.5000 0.0000 0.5000
```

Its space group is P4/mmm (123). The calculation puts the density of states at the Fermi level at 1.4131 states/eV/atom.



(6)
Te2CSeI after structural relaxation, computed with GGA-PBE. Values from VASP.

```
&SYSTEM
  ibrav = 0, nat = 5, ntyp = 4
/
ATOMIC_SPECIES
Te 127.60 Te.upf
C 12.01 C.upf
Se 78.96 Se.upf
I 126.90 I.upf
CELL_PARAMETERS angstrom
4.8614 0.0000 0.0000
0.0000 4.8614 0.0000
0.0000 0.0000 4.9574
ATOMIC_POSITIONS crystal
Te 0.0000 0.5000 0.0000
Te 0.5000 0.0000 0.0000
C 0.0000 0.0000 0.0000
Se 0.5000 0.5000 0.5000
I 0.0000 0.0000 0.5000
```

Its space group is P4/mmm (123). The calculation puts the density of states at the Fermi level at 0.8048 states/eV/atom.



no.,calculated total energy (eV per atom),magnetization (μB per formula unit)
1,-3.279,0.000
2,-5.510,0.000
3,-5.457,0.000
4,-2.274,0.834
5,-2.039,1.146
6,-2.922,0.000